Record 1
Density functional theory data (PBE) for Li2Ac2Ir after structural relaxation.

Results
formation energy: -0.2381 eV per atom

Cell lengths 6.391, 6.391, 6.391 Å; angles 137.32, 131.33, 66.70 degrees
Element x y z (fractional)
Li1 0.000 0.234 0.234
Li2 0.000 0.766 0.766
Ac1 0.325 0.325 0.000
Ac2 0.675 0.675 0.000
Ir1 0.500 0.000 0.500

Record 2
Density functional theory data (PBE) for Ba2MgHgF after structural relaxation.

Results
uncorrected formation energy: -1.19 eV per atom

Cell lengths 5.885, 5.885, 4.487 Å; angles 90.00, 90.00, 90.00 degrees
Element x y z (fractional)
Ba1 0.000 0.500 0.000
Ba2 0.500 0.000 0.000
Mg1 0.000 0.000 0.500
Hg1 0.500 0.500 0.500
F1 0.000 0.000 0.000

Record 3
Density functional theory data (PBE) for BaAcPSe after structural relaxation.

Results
uncorrected formation energy: -1.70 eV per atom

Cell lengths 8.051, 8.051, 8.051 Å; angles 32.87, 32.87, 32.87 degrees
Element x y z (fractional)
Ba1 0.000 0.000 0.000
Ac1 0.490 0.490 0.490
P1 0.754 0.754 0.754
Se1 0.241 0.241 0.241

Record 4
Density functional theory data (PBE) for BaFe2Ru after structural relaxation.

Results
formation energy: 1.1709 eV per atom

Cell lengths 4.806, 3.120, 5.456 Å; angles 90.00, 114.99, 90.00 degrees
Element x y z (fractional)
Ba1 0.000 0.000 0.000
Fe1 0.500 0.000 0.500
Fe2 0.500 0.500 0.000
Ru1 0.000 0.500 0.500

Record 5
Density functional theory data (PBE) for AlZn2RhC after structural relaxation.

Results
formation energy: 1.1582 eV per atom

Cell lengths 4.798, 4.798, 3.582 Å; angles 90.00, 90.00, 90.00 degrees
Element x y z (fractional)
Al1 0.000 0.000 0.000
Zn1 0.000 0.500 0.000
Zn2 0.500 0.000 0.000
Rh1 0.500 0.500 0.500
C1 0.000 0.000 0.500

Record 6
Density functional theory data (PBE) for Th2ZrGa2 after structural relaxation.

Results
offset from the most stable computed form: 0.000 eV per atom
formation energy: -0.4279 eV per atom

Cell lengths 6.071, 6.071, 6.071 Å; angles 138.97, 117.85, 77.21 degrees
Element x y z (fractional)
Th1 0.210 0.210 0.000
Th2 0.790 0.790 0.000
Zr1 0.500 0.000 0.500
Ga1 0.209 0.500 0.709
Ga2 0.791 0.500 0.291

Record 7
Density functional theory data (PBE) for TbPr4Dy7 after structural relaxation.

Results
offset from the most stable computed form: 0.173 eV per atom
formation energy: 0.2603 eV per atom

Cell lengths 6.762, 6.762, 12.903 Å; angles 114.98, 114.98, 52.24 degrees
Element x y z (fractional)
Tb1 0.000 0.000 0.000
Pr1 0.221 0.221 0.665
Pr2 0.361 0.361 0.222
Pr3 0.639 0.639 0.778
Pr4 0.779 0.779 0.335
Dy1 0.070 0.070 0.311
Dy2 0.212 0.212 0.923
Dy3 0.368 0.368 0.505
Dy4 0.500 0.500 0.000
Dy5 0.632 0.632 0.495
Dy6 0.788 0.788 0.077
Dy7 0.930 0.930 0.689

Record 8
Density functional theory data (PBE) for AlTe2W after structural relaxation.

Results
uncorrected formation energy: 0.71 eV per atom

Cell lengths 4.963, 4.963, 3.316 Å; angles 91.31, 91.31, 90.74 degrees
Element x y z (fractional)
Al1 0.000 0.000 0.000
Te1 0.000 0.500 0.500
Te2 0.500 0.000 0.500
W1 0.500 0.500 0.000

Record 9
Density functional theory data (PBE) for CsSiP3 after structural relaxation.

Results
offset from the most stable computed form: 0.683 eV per atom
uncorrected formation energy: 0.54 eV per atom

Cell lengths 4.834, 4.834, 4.834 Å; angles 90.00, 90.00, 90.00 degrees
Element x y z (fractional)
Cs1 0.000 0.000 0.000
Si1 0.500 0.500 0.500
P1 0.000 0.500 0.500
P2 0.500 0.000 0.500
P3 0.500 0.500 0.000

Record 10
Density functional theory data (PBE) for PmAgP2O6 after structural relaxation.

Results
uncorrected formation energy: -2.09 eV per atom

Cell lengths 6.938, 6.938, 7.971 Å; angles 107.10, 107.10, 102.02 degrees
Element x y z (fractional)
Pm1 0.064 0.936 0.750
Pm2 0.936 0.064 0.250
Ag1 0.334 0.666 0.250
Ag2 0.666 0.334 0.750
P1 0.021 0.378 0.759
P2 0.378 0.021 0.259
P3 0.622 0.979 0.741
P4 0.979 0.622 0.241
O1 0.010 0.199 0.583
O2 0.053 0.597 0.747
O3 0.172 0.352 0.930
O4 0.199 0.010 0.083
O5 0.352 0.172 0.430
O6 0.403 0.947 0.753
O7 0.597 0.053 0.247
O8 0.648 0.828 0.570
O9 0.801 0.990 0.917
O10 0.828 0.648 0.070
O11 0.947 0.403 0.253
O12 0.990 0.801 0.417

Record 11
Density functional theory data (PBE) for Pm2Mg2Ge4Pd after structural relaxation.

Results
formation energy: -0.5243 eV per atom

Cell lengths 6.383, 6.383, 6.383 Å; angles 117.57, 117.57, 94.27 degrees
Element x y z (fractional)
Pm1 0.250 0.750 0.500
Pm2 0.750 0.250 0.500
Mg1 0.204 0.204 0.000
Mg2 0.796 0.796 0.000
Ge1 0.230 0.230 0.460
Ge2 0.230 0.770 0.000
Ge3 0.770 0.230 0.000
Ge4 0.770 0.770 0.540
Pd1 0.500 0.500 0.000

Record 12
Density functional theory data (PBE) for Fe2Co2Tc after structural relaxation.

Results
offset from the most stable computed form: 0.018 eV per atom
formation energy: 0.2152 eV per atom

Cell lengths 6.768, 6.768, 2.542 Å; angles 90.00, 90.00, 90.00 degrees
Element x y z (fractional)
Fe1 0.121 0.379 0.000
Fe2 0.379 0.879 0.000
Fe3 0.621 0.121 0.000
Fe4 0.879 0.621 0.000
Co1 0.176 0.676 0.500
Co2 0.324 0.176 0.500
Co3 0.676 0.824 0.500
Co4 0.824 0.324 0.500
Tc1 0.000 0.000 0.000
Tc2 0.500 0.500 0.000

no.,calculated total energy (eV/atom)
1,-4.419
2,-2.713
3,-5.428
4,-5.860
5,-3.415
6,-6.316
7,-4.403
8,-5.036
9,-3.961
10,-6.909
11,-4.563
12,-8.085